[1]
The following is a DFT calculation (PBE-GGA) of a geometry-optimized PbAu9 structure.

## Properties
For the total energy, the calculation gives -3.2798 eV per atom. Its energy above the most stable polymorph in this dataset is 14 meV per atom. For the density, the calculation gives 15665 kg/m³.

Cell: 3.0269 3.0269 45.8152 Å, 90.00 90.00 90.00°
Sites, in units of the cell vectors:
Au 0.0000 0.5000 0.1762
Au 0.5000 0.0000 0.8238
Pb 0.5000 0.0000 0.9182
Au 0.5000 0.0000 0.6498
Au 0.0000 0.5000 0.6068
Au 0.0000 0.5000 0.7801
Au 0.5000 0.0000 0.4787
Au 0.5000 0.0000 0.3932
Au 0.5000 0.0000 0.2199
Au 0.5000 0.0000 0.5640
Au 0.5000 0.0000 0.3070
Au 0.0000 0.5000 0.4360
Au 0.0000 0.5000 0.3502
Au 0.5000 0.0000 0.7366
Au 0.0000 0.5000 0.2634
Au 0.5000 0.0000 0.1320
Pb 0.0000 0.5000 0.0818
Au 0.0000 0.5000 0.8680
Au 0.0000 0.5000 0.5213
Au 0.0000 0.5000 0.6930

---

[2]
The following is a DFT calculation (PBE-GGA) of a geometry-optimized Re5W structure.

## Properties
The total magnetization comes out at 0.00 μB/cell. For the total energy, the calculation gives -12.1806 eV per atom. Its energy above the most stable polymorph in this dataset is 103 meV per atom. For the density, the calculation gives 19652 kg/m³. The formation energy comes out at 0.332 eV/atom.

Cell: 5.1208 5.1208 8.2967 Å, 90.00 90.00 120.00°
Sites, in units of the cell vectors:
Re 0.1734 0.3467 0.7500
W 0.0000 0.0000 0.5000
Re 0.1734 0.8266 0.7500
Re 0.3333 0.6667 0.4307
Re 0.3333 0.6667 0.0693
Re 0.6533 0.8266 0.7500
Re 0.6667 0.3333 0.5693
Re 0.8266 0.1734 0.2500
Re 0.6667 0.3333 0.9307
Re 0.8266 0.6533 0.2500
W 0.0000 0.0000 0.0000
Re 0.3467 0.1734 0.2500